Entry 1:
First-principles (PBE) data for a geometry-optimized SrNbSn3 structure, as listed in Alexandria.

Calculated values
* volume: 31.6 Å³ per atom
* uncorrected energy: -4.863 eV per atom
* offset from the most stable computed form: 0.0 kJ per mole of atoms
* Fermi-level density of states: 0.6600 states/eV per atom

CIF file:
```
data_SrNbSn3
_cell_length_a 5.405
_cell_length_b 5.405
_cell_length_c 5.405
_cell_angle_alpha 90.00
_cell_angle_beta 90.00
_cell_angle_gamma 90.00
_space_group_name_H-M_alt 'P m -3 m'
_space_group_IT_number 221
_space_group_name_Hall '-P 4 2 3'
loop_
_atom_site_label
_atom_site_fract_x
_atom_site_fract_y
_atom_site_fract_z
Sr1 0.000 0.000 0.000
Nb1 0.500 0.500 0.500
Sn1 0.000 0.500 0.500
```


Entry 2:
First-principles (PBE) data for a geometry-optimized Sc3GaRu structure, as listed in Alexandria.

Calculated values
* volume: 19.1 Å³ per atom
* uncorrected energy: -6.699 eV per atom
* offset from the most stable computed form: 0.0 kJ per mole of atoms
* Fermi-level density of states: 0.8597 states/eV per atom

CIF file:
```
data_Sc3GaRu
_cell_length_a 6.593
_cell_length_b 6.593
_cell_length_c 6.593
_cell_angle_alpha 90.00
_cell_angle_beta 90.00
_cell_angle_gamma 90.00
_space_group_name_H-M_alt 'P m -3 m'
_space_group_IT_number 221
_space_group_name_Hall '-P 4 2 3'
loop_
_atom_site_label
_atom_site_fract_x
_atom_site_fract_y
_atom_site_fract_z
Sc1 0.000 0.000 0.000
Sc2 0.265 0.265 0.265
Ga1 0.000 0.000 0.500
Ru1 0.000 0.500 0.500
```


Entry 3:
First-principles (PBE) data for a geometry-optimized Ca2SnHg8 structure, as listed in Alexandria.

Calculated values
* volume: 26.7 Å³ per atom
* uncorrected energy: -1.213 eV per atom
* offset from the most stable computed form: 0.0 kJ per mole of atoms
* Fermi-level density of states: 0.4378 states/eV per atom

CIF file:
```
data_Ca2SnHg8
_cell_length_a 4.771
_cell_length_b 4.771
_cell_length_c 12.926
_cell_angle_alpha 90.00
_cell_angle_beta 90.00
_cell_angle_gamma 90.00
_space_group_name_H-M_alt 'P 4/m m m'
_space_group_IT_number 123
_space_group_name_Hall '-P 4 2'
loop_
_atom_site_label
_atom_site_fract_x
_atom_site_fract_y
_atom_site_fract_z
Ca1 0.000 0.000 0.180
Sn1 0.000 0.000 0.500
Hg1 0.000 0.500 0.000
Hg2 0.000 0.500 0.352
Hg3 0.500 0.500 0.180
```


Entry 4:
First-principles (PBE) data for a geometry-optimized La7PrHo2 structure, as listed in Alexandria.

Calculated values
* volume: 43.1 Å³ per atom
* uncorrected energy: -4.254 eV per atom
* Fermi-level density of states: 1.7723 states/eV per atom

CIF file:
```
data_La7PrHo2
_cell_length_a 9.105
_cell_length_b 16.155
_cell_length_c 5.855
_cell_angle_alpha 90.00
_cell_angle_beta 90.00
_cell_angle_gamma 90.00
_space_group_name_H-M_alt 'C m m m'
_space_group_IT_number 65
_space_group_name_Hall '-C 2 2'
loop_
_atom_site_label
_atom_site_fract_x
_atom_site_fract_y
_atom_site_fract_z
La1 0.000 0.000 0.000
La2 0.000 0.261 0.500
La3 0.182 0.383 0.000
Pr1 0.000 0.500 0.500
Ho1 0.000 0.203 0.000
```